1.
Below is ScCdAs2 after structural relaxation, with properties calculated at the PBE level.

Magnetic moment in μB/f.u.: 0.000
E_form in kJ per mole of atoms: -35.3

Structure (CIF):
```
data_ScCdAs2
_chemical_formula_sum 'Sc1 Cd1 As2'
_cell_length_a 3.443
_cell_length_b 3.443
_cell_length_c 7.323
_cell_angle_alpha 90.00
_cell_angle_beta 90.00
_cell_angle_gamma 104.11
_symmetry_space_group_name_H-M 'P 1'
_symmetry_Int_Tables_number 1
_symmetry_space_group_name_Hall 'P 1'
loop_
_atom_site_label
_atom_site_fract_x
_atom_site_fract_y
_atom_site_fract_z
As1 0.000 0.000 0.983
As2 0.000 0.000 0.517
Cd1 0.500 0.500 0.250
Sc1 0.500 0.500 0.750
```

---

2.
Below is EuCdSnAu after structural relaxation, with properties calculated at the PBE level.

Magnetic moment in μB/f.u.: 6.834
E_form in kJ per mole of atoms: -42.9

Structure (CIF):
```
data_EuCdSnAu
_chemical_formula_sum 'Eu1 Cd1 Sn1 Au1'
_cell_length_a 5.164
_cell_length_b 5.164
_cell_length_c 5.164
_cell_angle_alpha 60.00
_cell_angle_beta 60.00
_cell_angle_gamma 60.00
_symmetry_space_group_name_H-M 'P 1'
_symmetry_Int_Tables_number 1
_symmetry_space_group_name_Hall 'P 1'
loop_
_atom_site_label
_atom_site_fract_x
_atom_site_fract_y
_atom_site_fract_z
Cd1 0.750 0.750 0.750
Eu1 0.250 0.250 0.250
Sn1 0.000 0.000 0.000
Au1 0.500 0.500 0.500
```